(1)
# PrGdP2Os2N2

Crystalline PrGdP2Os2N2 at its relaxed geometry (PBE, OQMD via LeMat-Bulk).

Summary:
Calculated volume = 17.26 A^3/atom
Crystal system = tetragonal
Electronic total energy = -0.29602 hartree per atom

Cell: 4.044 4.044 8.441 Å, 90.00 90.00 90.00°
Space group P4mm (No. 99)
Unique sites:
Pr  0.000  0.000  0.000 (multiplicity 1)
Gd  0.500  0.500  0.269 (multiplicity 1)
P  0.000  0.000  0.489 (multiplicity 1)
P  0.500  0.500  0.774 (multiplicity 1)
Os  0.000  0.500  0.631 (multiplicity 2)
N  0.000  0.500  0.144 (multiplicity 2)

(2)
# YEr2Lu4Cu2Te2

Crystalline YEr2Lu4Cu2Te2 at its relaxed geometry (PBE, OQMD via LeMat-Bulk).

Summary:
Calculated volume = 25.78 A^3/atom
Crystal system = orthorhombic
Electronic total energy = -0.17964 hartree per atom

Cell: 3.936 15.234 9.459 Å, 90.00 90.00 90.00°
Space group Imm2 (No. 44)
Unique sites:
Y  0.000  0.000  0.000 (multiplicity 2)
Er  0.000  0.354  0.261 (multiplicity 4)
Lu  0.000  0.131  0.414 (multiplicity 4)
Lu  0.000  0.315  0.620 (multiplicity 4)
Cu  0.000  0.238  0.928 (multiplicity 4)
Te  0.000  0.000  0.659 (multiplicity 2)
Te  0.000  0.500  0.766 (multiplicity 2)

(3)
# ScBeIrPb

Crystalline ScBeIrPb at its relaxed geometry (PBE, OQMD via LeMat-Bulk).

Summary:
Calculated volume = 16.96 A^3/atom
Crystal system = cubic
Electronic total energy = -0.20957 hartree per atom

Cell: 6.474 6.474 6.474 Å, 90.00 90.00 90.00°
Space group F-43m (No. 216)
Unique sites:
Sc  0.000  0.000  0.000 (multiplicity 4)
Be  0.250  0.250  0.250 (multiplicity 4)
Ir  0.000  0.000  0.500 (multiplicity 4)
Pb  0.250  0.250  0.750 (multiplicity 4)

(4)
# CsAgIrSe3

Crystalline CsAgIrSe3 at its relaxed geometry (PBE, OQMD via LeMat-Bulk).

Summary:
Calculated volume = 26.96 A^3/atom
Crystal system = orthorhombic
Electronic total energy = -0.15203 hartree per atom

Cell: 3.892 16.320 10.188 Å, 90.00 90.00 90.00°
Space group Cmcm (No. 63)
Unique sites:
Cs  0.000  0.243  0.250 (multiplicity 4)
Ag  0.000  0.449  0.750 (multiplicity 4)
Ir  0.000  0.000  0.000 (multiplicity 4)
Se  0.000  0.058  0.750 (multiplicity 4)
Se  0.000  0.398  0.514 (multiplicity 8)

(5)
# SrLaMg4Pt2

Crystalline SrLaMg4Pt2 at its relaxed geometry (PBE, OQMD via LeMat-Bulk).

Summary:
Calculated volume = 23.81 A^3/atom
Crystal system = orthorhombic
Electronic total energy = -0.13877 hartree per atom

Cell: 8.285 4.296 10.701 Å, 90.00 90.00 90.00°
Space group Amm2 (No. 38)
Unique sites:
Sr  0.000  0.000  0.000 (multiplicity 2)
La  0.500  0.000  0.121 (multiplicity 2)
Mg  0.192  0.000  0.717 (multiplicity 4)
Mg  0.305  0.000  0.402 (multiplicity 4)
Pt  0.000  0.000  0.284 (multiplicity 2)
Pt  0.500  0.000  0.832 (multiplicity 2)

(6)
# LiEr4Tl5

Crystalline LiEr4Tl5 at its relaxed geometry (PBE, OQMD via LeMat-Bulk).

Summary:
Calculated volume = 25.60 A^3/atom
Crystal system = tetragonal
Electronic total energy = -0.12838 hartree per atom

Cell: 3.579 3.579 19.989 Å, 90.00 90.00 90.00°
Space group P4/mmm (No. 123)
Unique sites:
Li  0.000  0.000  0.000 (multiplicity 1)
Er  0.000  0.000  0.185 (multiplicity 2)
Er  0.000  0.000  0.395 (multiplicity 2)
Tl  0.500  0.500  0.082 (multiplicity 2)
Tl  0.500  0.500  0.290 (multiplicity 2)
Tl  0.500  0.500  0.500 (multiplicity 1)

Theoretical density per entry: 9.24, 8.82, 11.10, 6.88, 6.22, 11.01 g/cm³